Pr5NdY2 (GGA-PBE, relaxed); spin magnetization = 0.00 Bohr magnetons per cell; E = -83.1 eV per cell; polymorph energy (0 for the lowest one) = 0 meV per atom; E_form = 0.19 kcal/mol of atoms
1.0
7.344 0.000 0.000
0.000 14.689 0.000
0.000 0.000 5.191
Pr Nd Y
10 2 4
Cartesian
0.000 0.000 0.000
0.001 3.677 0.000
7.343 11.013 0.000
1.839 1.834 2.596
1.833 9.178 2.596
3.673 3.668 0.000
3.672 7.345 0.000
3.671 11.021 0.000
5.511 5.511 2.596
5.505 12.855 2.596
0.000 7.345 0.000
3.672 0.000 0.000
1.836 5.513 2.596
1.836 12.858 2.596
5.508 1.831 2.596
5.508 9.176 2.596

***

Pr4Nd3Y3 (GGA-PBE, relaxed); spin magnetization = 0.00 Bohr magnetons per cell; E = -51.9 eV per cell; E_form = 2.21 kcal/mol of atoms
1.0
3.901 0.000 0.000
0.000 6.751 6.712
0.000 -6.751 6.712
Pr Nd Y
4 3 3
Cartesian
0.000 0.000 0.000
0.000 0.000 3.465
0.000 -1.760 8.452
0.000 1.760 8.452
0.000 -3.421 5.076
0.000 3.421 5.076
1.950 0.000 6.182
1.950 -4.470 8.437
1.950 0.000 10.717
1.950 4.470 8.437

***

Pr4Nd2Y3 (GGA-PBE, relaxed); spin magnetization = 0.00 Bohr magnetons per cell; E = -47.9 eV per cell; polymorph energy (0 for the lowest one) = 0 meV per atom; E_form = 0.32 kcal/mol of atoms
1.0
5.781 -2.594 0.000
5.781 2.594 0.000
-3.415 0.000 10.428
Pr Nd Y
4 2 3
Cartesian
-1.131 0.000 3.479
3.475 0.000 1.167
4.673 0.000 9.261
9.279 0.000 6.948
1.196 0.000 8.094
6.951 0.000 2.334
0.000 0.000 0.000
2.339 0.000 4.652
5.808 0.000 5.776

***

Pr6Nd12Y (GGA-PBE, relaxed); spin magnetization = 0.00 Bohr magnetons per cell; E = -90.0 eV per cell; polymorph energy (0 for the lowest one) = 0 meV per atom; E_form = 2.88 kcal/mol of atoms
1.0
6.198 3.578 5.140
-6.198 3.578 5.140
0.000 -7.156 5.140
Pr Nd Y
6 12 1
Cartesian
-3.501 -0.817 7.999
-1.043 -3.440 7.422
-2.458 2.623 7.422
2.458 -2.623 7.999
1.043 3.440 7.999
3.501 0.817 7.422
-5.584 1.472 6.426
-4.067 -4.100 8.996
-2.118 0.025 4.779
1.517 -5.572 6.426
1.038 -1.847 4.779
1.080 1.822 4.779
-1.080 -1.822 10.642
-1.038 1.847 10.642
-1.517 5.572 8.996
2.118 -0.025 10.642
4.067 4.100 6.426
5.584 -1.472 8.996
0.000 0.000 7.711

***

Which value of E does entry 4 give?
-90.0 eV per cell